An optimized crystal structure of TmScTl. Source: the Alexandria database, functional PBE.

abc: 5.1664 5.1664 6.5450
angles: 90.00 90.00 119.99
Positions (direct):
Tm 0.0000 0.5000 0.5000
Tm 0.0000 0.5000 0.0000
Sc 0.6666 0.8334 0.7500
Sc 0.3334 0.1666 0.2500
Tl 0.6668 0.8332 0.2500
Tl 0.3332 0.1668 0.7500

Summary:
The total energy is -4.648 eV per atom. As for the formation energy: -0.78 eV per formula unit. For the distance to the lowest polymorph of the same formula, the calculation gives 0 meV/atom.